1.
Entry from Alexandria: crystalline TaVW at its relaxed geometry (PBE-GGA).

Summary:
space group = I4mm (107)
raw total energy = -0.764 Ry per atom
calculated formation energy = 2.75 eV/f.u.
energy above the most stable polymorph in this dataset = 1.0403 eV per atom

a = 7.710 Å, b = 7.710 Å, c = 7.710 Å
α = 160.12°, β = 160.12°, γ = 28.27°
Element x y z (fractional)
Ta 0.000 0.000 0.000
V 0.826 0.826 0.000
W 0.658 0.658 0.000

2.
Entry from Alexandria: crystalline TaVW at its relaxed geometry (PBE-GGA).

Summary:
space group = P3m1 (156)
raw total energy = -0.833 Ry per atom
calculated formation energy = -0.08 eV/f.u.
energy above the most stable polymorph in this dataset = 0.0962 eV per atom

a = 4.455 Å, b = 4.455 Å, c = 2.793 Å
α = 90.00°, β = 90.00°, γ = 120.00°
Element x y z (fractional)
Ta 0.000 0.000 0.000
V 0.333 0.667 0.650
W 0.667 0.333 0.342

3.
Entry from Alexandria: crystalline TaV2W6 at its relaxed geometry (PBE-GGA).

Summary:
space group = P-6m2 (187)
raw total energy = -0.842 Ry per atom
calculated formation energy = 4.72 eV/f.u.
energy above the most stable polymorph in this dataset = 0.2261 eV per atom

a = 2.773 Å, b = 2.773 Å, c = 22.180 Å
α = 90.00°, β = 90.00°, γ = 120.00°
Element x y z (fractional)
Ta 0.000 0.000 0.000
V 0.333 0.667 0.334
V 0.333 0.667 0.666
W 0.000 0.000 0.227
W 0.000 0.000 0.441
W 0.000 0.000 0.559
W 0.000 0.000 0.773
W 0.333 0.667 0.116
W 0.333 0.667 0.884

4.
Entry from Alexandria: crystalline TaVW3 at its relaxed geometry (PBE-GGA).

Summary:
space group = Imma (74)
raw total energy = -0.845 Ry per atom
calculated formation energy = 2.32 eV/f.u.
energy above the most stable polymorph in this dataset = 0.5429 eV per atom

a = 6.763 Å, b = 6.763 Å, c = 6.763 Å
α = 135.57°, β = 72.47°, γ = 125.96°
Element x y z (fractional)
Ta 0.000 0.000 0.000
Ta 0.500 0.000 0.500
V 0.354 0.104 0.250
V 0.646 0.896 0.750
W 0.000 0.000 0.500
W 0.000 0.500 0.000
W 0.189 0.578 0.611
W 0.468 0.578 0.889
W 0.532 0.422 0.111
W 0.811 0.422 0.389

5.
Entry from Alexandria: crystalline Ta3VW at its relaxed geometry (PBE-GGA).

Summary:
space group = P2_1/c (14)
raw total energy = -0.824 Ry per atom
calculated formation energy = 1.60 eV/f.u.
energy above the most stable polymorph in this dataset = 0.3495 eV per atom

a = 7.733 Å, b = 5.664 Å, c = 9.587 Å
α = 90.00°, β = 122.84°, γ = 90.00°
Element x y z (fractional)
Ta 0.036 0.082 0.294
Ta 0.036 0.418 0.794
Ta 0.349 0.150 0.731
Ta 0.349 0.350 0.231
Ta 0.369 0.674 0.891
Ta 0.369 0.826 0.391
Ta 0.631 0.174 0.609
Ta 0.631 0.326 0.109
Ta 0.651 0.650 0.769
Ta 0.651 0.850 0.269
Ta 0.964 0.582 0.206
Ta 0.964 0.918 0.706
V 0.311 0.079 0.993
V 0.311 0.421 0.493
V 0.689 0.579 0.507
V 0.689 0.921 0.007
W 0.113 0.704 0.550
W 0.113 0.796 0.050
W 0.887 0.204 0.950
W 0.887 0.296 0.450

6.
Entry from Alexandria: crystalline Ta4V2W at its relaxed geometry (PBE-GGA).

Summary:
space group = R-3m (166)
raw total energy = -0.789 Ry per atom
calculated formation energy = 3.49 eV/f.u.

a = 7.370 Å, b = 7.370 Å, c = 7.370 Å
α = 36.49°, β = 36.49°, γ = 36.49°
Element x y z (fractional)
Ta 0.118 0.118 0.118
Ta 0.253 0.253 0.253
Ta 0.747 0.747 0.747
Ta 0.882 0.882 0.882
V 0.377 0.377 0.377
V 0.623 0.623 0.623
W 0.500 0.500 0.500

7.
Entry from Alexandria: crystalline Ta2V3W3 at its relaxed geometry (PBE-GGA).

Summary:
space group = Cmcm (63)
raw total energy = -0.803 Ry per atom
calculated formation energy = 2.51 eV/f.u.

a = 6.916 Å, b = 6.916 Å, c = 12.612 Å
α = 90.00°, β = 90.00°, γ = 154.25°
Element x y z (fractional)
Ta 0.236 0.764 0.609
Ta 0.236 0.764 0.891
Ta 0.764 0.236 0.109
Ta 0.764 0.236 0.391
V 0.388 0.612 0.750
V 0.397 0.603 0.007
V 0.397 0.603 0.493
V 0.603 0.397 0.507
V 0.603 0.397 0.993
V 0.612 0.388 0.250
W 0.005 0.995 0.127
W 0.005 0.995 0.373
W 0.379 0.621 0.250
W 0.621 0.379 0.750
W 0.995 0.005 0.627
W 0.995 0.005 0.873

8.
Entry from Alexandria: crystalline Ta2VW at its relaxed geometry (PBE-GGA).

Summary:
space group = P2/m (10)
raw total energy = -0.840 Ry per atom
calculated formation energy = 0.04 eV/f.u.

a = 2.812 Å, b = 4.481 Å, c = 5.344 Å
α = 90.00°, β = 99.77°, γ = 90.00°
Element x y z (fractional)
Ta 0.248 0.000 0.247
Ta 0.752 0.000 0.753
V 0.500 0.500 0.000
W 0.000 0.500 0.500

9.
Entry from Alexandria: crystalline TaV4W3 at its relaxed geometry (PBE-GGA).

Summary:
space group = Pmmm (47)
raw total energy = -0.805 Ry per atom
calculated formation energy = -0.40 eV/f.u.

a = 3.108 Å, b = 4.390 Å, c = 8.768 Å
α = 90.00°, β = 90.00°, γ = 90.00°
Element x y z (fractional)
Ta 0.000 0.000 0.000
V 0.500 0.000 0.257
V 0.500 0.000 0.743
V 0.500 0.500 0.000
V 0.500 0.500 0.500
W 0.000 0.000 0.500
W 0.000 0.500 0.250
W 0.000 0.500 0.750

10.
Entry from Alexandria: crystalline TaV6W5 at its relaxed geometry (PBE-GGA).

Summary:
space group = Immm (71)
raw total energy = -0.809 Ry per atom
calculated formation energy = -0.71 eV/f.u.

a = 7.593 Å, b = 7.593 Å, c = 7.593 Å
α = 146.52°, β = 131.81°, γ = 59.95°
Element x y z (fractional)
Ta 0.000 0.000 0.000
V 0.084 0.831 0.252
V 0.255 0.500 0.755
V 0.421 0.169 0.252
V 0.579 0.831 0.748
V 0.745 0.500 0.245
V 0.916 0.169 0.748
W 0.166 0.666 0.500
W 0.333 0.333 0.000
W 0.500 0.000 0.500
W 0.667 0.667 0.000
W 0.834 0.334 0.500

11.
Entry from Alexandria: crystalline Ta3VW at its relaxed geometry (PBE-GGA).

Summary:
space group = Pm-3m (221)
raw total energy = -0.745 Ry per atom
calculated formation energy = 6.94 eV/f.u.
energy above the most stable polymorph in this dataset = 1.4188 eV per atom

a = 4.581 Å, b = 4.581 Å, c = 4.581 Å
α = 90.00°, β = 90.00°, γ = 90.00°
Element x y z (fractional)
Ta 0.000 0.000 0.500
Ta 0.000 0.500 0.000
Ta 0.500 0.000 0.000
V 0.000 0.000 0.000
W 0.500 0.500 0.500

12.
Entry from Alexandria: crystalline Ta2VW at its relaxed geometry (PBE-GGA).

Summary:
space group = I-42d (122)
raw total energy = -0.785 Ry per atom
calculated formation energy = 3.06 eV/f.u.

a = 5.783 Å, b = 5.783 Å, c = 5.783 Å
α = 103.03°, β = 103.03°, γ = 123.31°
Element x y z (fractional)
Ta 0.119 0.625 0.994
Ta 0.375 0.369 0.494
Ta 0.631 0.125 0.006
Ta 0.875 0.881 0.506
V 0.000 0.000 0.000
V 0.750 0.250 0.500
W 0.250 0.750 0.500
W 0.500 0.500 0.000

13.
Entry from Alexandria: crystalline Ta6VW at its relaxed geometry (PBE-GGA).

Summary:
space group = I4/mmm (139)
raw total energy = -0.857 Ry per atom
calculated formation energy = -0.09 eV/f.u.
energy above the most stable polymorph in this dataset = 0.0000 eV per atom

a = 7.344 Å, b = 7.344 Å, c = 7.344 Å
α = 143.45°, β = 143.45°, γ = 52.65°
Element x y z (fractional)
Ta 0.120 0.620 0.500
Ta 0.249 0.249 0.000
Ta 0.380 0.880 0.500
Ta 0.620 0.120 0.500
Ta 0.751 0.751 0.000
Ta 0.880 0.380 0.500
V 0.000 0.000 0.000
W 0.500 0.500 0.000

14.
Entry from Alexandria: crystalline Ta3VW at its relaxed geometry (PBE-GGA).

Summary:
space group = C2/m (12)
raw total energy = -0.849 Ry per atom
calculated formation energy = -0.15 eV/f.u.
energy above the most stable polymorph in this dataset = 0.0000 eV per atom

a = 7.050 Å, b = 7.050 Å, c = 5.613 Å
α = 97.26°, β = 97.26°, γ = 37.83°
Element x y z (fractional)
Ta 0.005 0.005 0.255
Ta 0.202 0.202 0.648
Ta 0.397 0.397 0.047
Ta 0.603 0.603 0.953
Ta 0.798 0.798 0.352
Ta 0.995 0.995 0.745
V 0.406 0.406 0.544
V 0.594 0.594 0.456
W 0.200 0.200 0.153
W 0.800 0.800 0.847

15.
Entry from Alexandria: crystalline Ta2V4W5 at its relaxed geometry (PBE-GGA).

Summary:
space group = P-1 (2)
raw total energy = -0.838 Ry per atom
calculated formation energy = -0.45 eV/f.u.

a = 2.775 Å, b = 6.756 Å, c = 9.295 Å
α = 91.96°, β = 95.68°, γ = 97.94°
Element x y z (fractional)
Ta 0.091 0.307 0.454
Ta 0.909 0.693 0.546
V 0.185 0.135 0.911
V 0.283 0.953 0.355
V 0.717 0.047 0.645
V 0.815 0.865 0.089
W 0.000 0.500 0.000
W 0.372 0.782 0.824
W 0.456 0.596 0.268
W 0.544 0.404 0.732
W 0.628 0.218 0.176

16.
Entry from Alexandria: crystalline Ta2V5W2 at its relaxed geometry (PBE-GGA).

Summary:
space group = P-1 (2)
raw total energy = -0.768 Ry per atom
calculated formation energy = 1.20 eV/f.u.

a = 2.964 Å, b = 6.600 Å, c = 7.116 Å
α = 82.58°, β = 88.63°, γ = 86.15°
Element x y z (fractional)
Ta 0.240 0.372 0.365
Ta 0.760 0.628 0.635
V 0.000 0.000 0.500
V 0.229 0.384 0.920
V 0.342 0.785 0.297
V 0.658 0.215 0.703
V 0.771 0.616 0.080
W 0.253 0.894 0.874
W 0.747 0.106 0.126

17.
Entry from Alexandria: crystalline TaVW3 at its relaxed geometry (PBE-GGA).

Summary:
space group = Pm-3m (221)
raw total energy = -0.772 Ry per atom
calculated formation energy = 7.34 eV/f.u.
energy above the most stable polymorph in this dataset = 1.5461 eV per atom

a = 4.512 Å, b = 4.512 Å, c = 4.512 Å
α = 90.00°, β = 90.00°, γ = 90.00°
Element x y z (fractional)
Ta 0.000 0.000 0.000
V 0.500 0.500 0.500
W 0.000 0.500 0.500
W 0.500 0.000 0.500
W 0.500 0.500 0.000

18.
Entry from Alexandria: crystalline TaV2W4 at its relaxed geometry (PBE-GGA).

Summary:
space group = I4/mmm (139)
raw total energy = -0.830 Ry per atom
calculated formation energy = 2.89 eV/f.u.
energy above the most stable polymorph in this dataset = 0.2623 eV per atom

a = 5.362 Å, b = 5.362 Å, c = 5.362 Å
α = 104.39°, β = 104.39°, γ = 120.19°
Element x y z (fractional)
Ta 0.000 0.000 0.000
V 0.250 0.750 0.500
V 0.750 0.250 0.500
W 0.304 0.304 0.609
W 0.304 0.696 0.000
W 0.696 0.304 0.000
W 0.696 0.696 0.391

19.
Entry from Alexandria: crystalline TaV6W at its relaxed geometry (PBE-GGA).

Summary:
space group = Amm2 (38)
raw total energy = -0.730 Ry per atom
calculated formation energy = 0.04 eV/f.u.
energy above the most stable polymorph in this dataset = 0.0000 eV per atom

a = 4.324 Å, b = 5.327 Å, c = 5.327 Å
α = 70.68°, β = 90.00°, γ = 90.00°
Element x y z (fractional)
Ta 0.000 0.000 0.000
V 0.000 0.493 0.493
V 0.000 0.497 0.999
V 0.000 0.999 0.497
V 0.500 0.248 0.248
V 0.500 0.255 0.736
V 0.500 0.736 0.255
W 0.500 0.746 0.746

20.
Entry from Alexandria: crystalline TaV5W6 at its relaxed geometry (PBE-GGA).

Summary:
space group = Immm (71)
raw total energy = -0.832 Ry per atom
calculated formation energy = -0.73 eV/f.u.

a = 7.624 Å, b = 7.624 Å, c = 7.624 Å
α = 146.46°, β = 131.65°, γ = 60.12°
Element x y z (fractional)
Ta 0.000 0.000 0.000
V 0.168 0.668 0.500
V 0.333 0.333 0.000
V 0.500 0.000 0.500
V 0.667 0.667 0.000
V 0.832 0.332 0.500
W 0.084 0.830 0.254
W 0.257 0.500 0.757
W 0.423 0.170 0.254
W 0.577 0.830 0.746
W 0.743 0.500 0.243
W 0.916 0.170 0.746

21.
Entry from Alexandria: crystalline Ta2VW5 at its relaxed geometry (PBE-GGA).

Summary:
space group = I4/mmm (139)
raw total energy = -0.903 Ry per atom
calculated formation energy = -0.68 eV/f.u.

a = 5.525 Å, b = 5.525 Å, c = 5.525 Å
α = 109.52°, β = 109.52°, γ = 109.38°
Element x y z (fractional)
Ta 0.000 0.500 0.500
Ta 0.500 0.000 0.500
V 0.000 0.000 0.000
W 0.000 0.000 0.500
W 0.000 0.500 0.000
W 0.500 0.000 0.000
W 0.500 0.500 0.000
W 0.500 0.500 0.500

22.
Entry from Alexandria: crystalline TaVW4 at its relaxed geometry (PBE-GGA).

Summary:
space group = Cmmm (65)
raw total energy = -0.898 Ry per atom
calculated formation energy = -0.56 eV/f.u.

a = 3.171 Å, b = 3.171 Å, c = 9.551 Å
α = 90.00°, β = 90.00°, γ = 90.12°
Element x y z (fractional)
Ta 0.000 0.000 0.000
V 0.500 0.500 0.500
W 0.000 0.000 0.339
W 0.000 0.000 0.661
W 0.500 0.500 0.175
W 0.500 0.500 0.825

23.
Entry from Alexandria: crystalline TaV8W2 at its relaxed geometry (PBE-GGA).

Summary:
space group = C2/m (12)
raw total energy = -0.724 Ry per atom
calculated formation energy = 2.34 eV/f.u.

a = 6.223 Å, b = 6.223 Å, c = 7.720 Å
α = 123.14°, β = 123.14°, γ = 42.23°
Element x y z (fractional)
Ta 0.000 0.000 0.000
V 0.054 0.054 0.392
V 0.203 0.203 0.871
V 0.309 0.309 0.659
V 0.450 0.450 0.137
V 0.550 0.550 0.863
V 0.691 0.691 0.341
V 0.797 0.797 0.129
V 0.946 0.946 0.608
W 0.352 0.352 0.367
W 0.648 0.648 0.633